A plane-wave DFT calculation with PBE-GGA was carried out for a geometry-optimized PuTlCu structure.

Cell lengths 6.586, 6.586, 6.586 Å; angles 90.00, 90.00, 90.00 degrees
Space group F-43m (No. 216)
Unique sites:
Pu1 0.000 0.000 0.000 [4 per cell]
Tl1 0.000 0.000 0.500 [4 per cell]
Cu1 0.250 0.250 0.250 [4 per cell]

A plane-wave DFT calculation with PBE-GGA was carried out for a geometry-optimized BeZnFeCu structure.

Cell lengths 5.584, 5.584, 5.584 Å; angles 90.00, 90.00, 90.00 degrees
Space group F-43m (No. 216)
Unique sites:
Be1 0.000 0.000 0.000 [4 per cell]
Zn1 0.250 0.250 0.750 [4 per cell]
Fe1 0.250 0.250 0.250 [4 per cell]
Cu1 0.000 0.000 0.500 [4 per cell]

Results
E above lowest polymorph	0.131	eV/f.u.

A plane-wave DFT calculation with PBE-GGA was carried out for a geometry-optimized LiAgGeSeS2 structure.

Cell lengths 3.460, 13.515, 10.237 Å; angles 90.00, 90.00, 90.00 degrees
Space group Cmcm (No. 63)
Unique sites:
Li1 0.000 0.185 0.250 [4 per cell]
Ag1 0.000 0.138 0.750 [4 per cell]
Ge1 0.000 0.500 0.000 [4 per cell]
Se1 0.000 0.454 0.750 [4 per cell]
S1 0.000 0.130 0.516 [8 per cell]

A plane-wave DFT calculation with PBE-GGA was carried out for a geometry-optimized CuNi2Te3 structure.

Cell lengths 7.493, 3.655, 9.949 Å; angles 90.00, 106.85, 90.00 degrees
Space group P2_1/m (No. 11)
Unique sites:
Cu1 0.100 0.250 0.088 [2 per cell]
Ni1 0.284 0.750 0.297 [2 per cell]
Ni2 0.455 0.750 0.571 [2 per cell]
Te1 0.078 0.250 0.816 [2 per cell]
Te2 0.223 0.250 0.478 [2 per cell]
Te3 0.455 0.250 0.173 [2 per cell]

Summary of energy in eV/f.u.
-19.80, -16.48, -22.85, -25.05
(order as listed above)